Entry 1:
First-principles (PBE) data for a relaxed structure of LaPb4F10, as listed in Alexandria. Values from VASP.

Properties
- Formation energy without anion corrections: -2674 meV per atom
- Calculated volume: 18.2 A^3/atom

Structure (Quantum ESPRESSO input):
```
&SYSTEM
  ibrav = 0, nat = 15, ntyp = 3
/
ATOMIC_SPECIES
F 19.00 F.upf
Pb 207.20 Pb.upf
La 138.91 La.upf
CELL_PARAMETERS angstrom
-4.996 -3.392 -0.658
1.267 -6.837 -2.409
-1.893 -3.814 6.002
ATOMIC_POSITIONS crystal
F 0.423 0.906 0.714
F 0.137 0.286 0.906
Pb 0.197 0.402 0.203
F 0.863 0.714 0.094
F 0.043 0.094 0.286
F 0.957 0.906 0.714
Pb 0.600 0.203 0.598
F 0.750 0.500 0.500
Pb 0.803 0.598 0.797
F 0.577 0.094 0.286
F 0.671 0.286 0.906
F 0.250 0.500 0.500
La 0.000 0.000 0.000
Pb 0.400 0.797 0.402
F 0.329 0.714 0.094
```

---

Entry 2:
First-principles (PBE) data for a relaxed structure of La2PbF2, as listed in Alexandria. Values from VASP.

Properties
- Formation energy without anion corrections: -2360 meV per atom
- Calculated volume: 24.2 A^3/atom
- ΔE to the lowest computed polymorph: 9.19 kJ per mole of atoms

Structure (Quantum ESPRESSO input):
```
&SYSTEM
  ibrav = 0, nat = 10, ntyp = 3
/
ATOMIC_SPECIES
La 138.91 La.upf
F 19.00 F.upf
Pb 207.20 Pb.upf
CELL_PARAMETERS angstrom
6.532 0.418 -1.796
-3.257 5.678 -1.796
-0.418 -0.778 6.761
ATOMIC_POSITIONS crystal
La 0.789 0.211 0.000
F 0.880 0.880 0.761
Pb 0.500 0.500 0.000
F 0.120 0.120 0.239
F 0.130 0.630 0.261
La 0.461 0.539 0.500
La 0.211 0.789 0.000
Pb 0.750 0.250 0.500
F 0.370 0.870 0.739
La 0.039 0.961 0.500
```

---

Entry 3:
First-principles (PBE) data for a relaxed structure of LaPbF2, as listed in Alexandria. Values from VASP.

Properties
- Formation energy without anion corrections: -1941 meV per atom
- Calculated volume: 25.5 A^3/atom
- ΔE to the lowest computed polymorph: 53.71 kJ per mole of atoms

Structure (Quantum ESPRESSO input):
```
&SYSTEM
  ibrav = 0, nat = 4, ntyp = 3
/
ATOMIC_SPECIES
F 19.00 F.upf
La 138.91 La.upf
Pb 207.20 Pb.upf
CELL_PARAMETERS angstrom
2.095 0.000 8.939
-1.047 1.814 8.939
-1.047 -1.814 8.939
ATOMIC_POSITIONS crystal
F 0.083 0.083 0.083
La 0.000 0.000 0.000
Pb 0.500 0.500 0.500
F 0.917 0.917 0.917
```

---

Entry 4:
First-principles (PBE) data for a relaxed structure of LaPb2F, as listed in Alexandria. Values from VASP.

Properties
- Formation energy without anion corrections: -656 meV per atom
- Calculated volume: 32.7 A^3/atom
- ΔE to the lowest computed polymorph: 0.00 kJ per mole of atoms

Structure (Quantum ESPRESSO input):
```
&SYSTEM
  ibrav = 0, nat = 8, ntyp = 3
/
ATOMIC_SPECIES
Pb 207.20 Pb.upf
F 19.00 F.upf
La 138.91 La.upf
CELL_PARAMETERS angstrom
-4.873 2.770 1.077
-2.059 -1.655 -5.060
-6.482 -6.068 1.403
ATOMIC_POSITIONS crystal
Pb 0.475 0.125 0.250
Pb 0.875 0.725 0.750
Pb 0.275 0.625 0.250
Pb 0.375 0.525 0.750
F 0.500 0.500 0.000
La 0.750 0.250 0.500
La 0.000 0.000 0.000
F 0.250 0.750 0.500
```

---

Entry 5:
First-principles (PBE) data for a relaxed structure of LaPbF2, as listed in Alexandria. Values from VASP.

Properties
- Formation energy without anion corrections: -2355 meV per atom
- Calculated volume: 28.4 A^3/atom
- ΔE to the lowest computed polymorph: 13.71 kJ per mole of atoms

Structure (Quantum ESPRESSO input):
```
&SYSTEM
  ibrav = 0, nat = 8, ntyp = 3
/
ATOMIC_SPECIES
F 19.00 F.upf
La 138.91 La.upf
Pb 207.20 Pb.upf
CELL_PARAMETERS angstrom
5.870 0.000 0.000
0.000 5.870 0.000
2.935 2.935 6.594
ATOMIC_POSITIONS crystal
F 0.462 0.125 0.250
La 0.250 0.750 0.500
Pb 0.000 0.000 0.000
F 0.875 0.712 0.750
Pb 0.750 0.250 0.500
La 0.500 0.500 0.000
F 0.375 0.538 0.750
F 0.288 0.625 0.250
```

---

Entry 6:
First-principles (PBE) data for a relaxed structure of Rb2LaPbF, as listed in Alexandria. Values from VASP.

Properties
- Formation energy without anion corrections: -815 meV per atom
- Calculated volume: 40.7 A^3/atom

Structure (Quantum ESPRESSO input):
```
&SYSTEM
  ibrav = 0, nat = 5, ntyp = 4
/
ATOMIC_SPECIES
Rb 85.47 Rb.upf
F 19.00 F.upf
La 138.91 La.upf
Pb 207.20 Pb.upf
CELL_PARAMETERS angstrom
-1.580 3.860 2.820
-5.303 -4.810 3.611
3.430 -1.154 3.501
ATOMIC_POSITIONS crystal
Rb 0.500 0.000 0.000
F 0.000 0.000 0.000
Rb 0.000 0.000 0.500
La 0.500 0.500 0.500
Pb 0.000 0.500 0.000
```

---

Entry 7:
First-principles (PBE) data for a relaxed structure of LaPbS2F, as listed in Alexandria. Values from VASP.

Properties
- Formation energy without anion corrections: -443 meV per atom
- Calculated volume: 39.7 A^3/atom

Structure (Quantum ESPRESSO input):
```
&SYSTEM
  ibrav = 0, nat = 5, ntyp = 4
/
ATOMIC_SPECIES
F 19.00 F.upf
La 138.91 La.upf
S 32.06 S.upf
Pb 207.20 Pb.upf
CELL_PARAMETERS angstrom
5.277 0.000 0.000
0.000 7.136 0.000
0.000 0.000 5.277
ATOMIC_POSITIONS crystal
F 0.500 0.500 0.500
La 0.000 0.000 0.000
S 0.000 0.000 0.500
S 0.500 0.000 0.000
Pb 0.000 0.500 0.000
```

---

Entry 8:
First-principles (PBE) data for a relaxed structure of LaTcPbF2, as listed in Alexandria. Values from VASP.

Properties
- Formation energy without anion corrections: -804 meV per atom
- Calculated volume: 23.1 A^3/atom

Structure (Quantum ESPRESSO input):
```
&SYSTEM
  ibrav = 0, nat = 5, ntyp = 4
/
ATOMIC_SPECIES
F 19.00 F.upf
La 138.91 La.upf
Tc 98.00 Tc.upf
Pb 207.20 Pb.upf
CELL_PARAMETERS angstrom
4.512 0.000 0.000
0.000 5.662 0.000
0.000 0.000 4.512
ATOMIC_POSITIONS crystal
F 0.000 0.000 0.500
La 0.500 0.500 0.500
F 0.500 0.000 0.000
Tc 0.000 0.000 0.000
Pb 0.000 0.500 0.000
```

---

Entry 9:
First-principles (PBE) data for a relaxed structure of LaTiPbF2, as listed in Alexandria. Values from VASP.

Properties
- Formation energy without anion corrections: -1257 meV per atom
- Calculated volume: 25.6 A^3/atom

Structure (Quantum ESPRESSO input):
```
&SYSTEM
  ibrav = 0, nat = 5, ntyp = 4
/
ATOMIC_SPECIES
F 19.00 F.upf
La 138.91 La.upf
Ti 47.87 Ti.upf
Pb 207.20 Pb.upf
CELL_PARAMETERS angstrom
-2.566 1.334 -3.119
0.653 -6.268 -3.218
-3.369 -1.455 2.150
ATOMIC_POSITIONS crystal
F 0.500 0.000 0.000
La 0.000 0.500 0.000
Ti 0.000 0.000 0.000
Pb 0.500 0.500 0.500
F 0.000 0.000 0.500
```

---

Copy entry 4 word for word.
First-principles (PBE) data for a relaxed structure of LaPb2F, as listed in Alexandria. Values from VASP.

Properties
- Formation energy without anion corrections: -656 meV per atom
- Calculated volume: 32.7 A^3/atom
- ΔE to the lowest computed polymorph: 0.00 kJ per mole of atoms

Structure (Quantum ESPRESSO input):
```
&SYSTEM
  ibrav = 0, nat = 8, ntyp = 3
/
ATOMIC_SPECIES
Pb 207.20 Pb.upf
F 19.00 F.upf
La 138.91 La.upf
CELL_PARAMETERS angstrom
-4.873 2.770 1.077
-2.059 -1.655 -5.060
-6.482 -6.068 1.403
ATOMIC_POSITIONS crystal
Pb 0.475 0.125 0.250
Pb 0.875 0.725 0.750
Pb 0.275 0.625 0.250
Pb 0.375 0.525 0.750
F 0.500 0.500 0.000
La 0.750 0.250 0.500
La 0.000 0.000 0.000
F 0.250 0.750 0.500
```

---

Repeat the third record exactly.
First-principles (PBE) data for a relaxed structure of LaPbF2, as listed in Alexandria. Values from VASP.

Properties
- Formation energy without anion corrections: -1941 meV per atom
- Calculated volume: 25.5 A^3/atom
- ΔE to the lowest computed polymorph: 53.71 kJ per mole of atoms

Structure (Quantum ESPRESSO input):
```
&SYSTEM
  ibrav = 0, nat = 4, ntyp = 3
/
ATOMIC_SPECIES
F 19.00 F.upf
La 138.91 La.upf
Pb 207.20 Pb.upf
CELL_PARAMETERS angstrom
2.095 0.000 8.939
-1.047 1.814 8.939
-1.047 -1.814 8.939
ATOMIC_POSITIONS crystal
F 0.083 0.083 0.083
La 0.000 0.000 0.000
Pb 0.500 0.500 0.500
F 0.917 0.917 0.917
```

---

> Which value of formation energy without anion corrections does entry 6 give?

-815 meV per atom